(1)
Density functional theory data (PBE) for an optimized crystal structure of BaP2RuAu.

DFT total energy = -3.97 eV/atom
ρ = 5.94 g/cm3
ΔE_f = 1.0866 eV per atom
total magnetization = 2.5 μB per cell
space group = P4/mmm, No. 123

a b c (Å): 4.862 5.884 4.862
angles (deg): 90.00 90.00 90.00
Last column: magnetic moment on the atom in μB.
Atoms (fractional coordinates):
1 Ru 0.500 0.500 0.500  2.23
2 P 0.500 0.000 0.000  -0.01
3 Au 0.000 0.000 0.000  0.02
4 Ba 0.000 0.500 0.000  -0.04
5 P 0.000 0.000 0.500  0.05

=====

(2)
Density functional theory data (PBE) for an optimized crystal structure of Cr2CoTc.

DFT total energy = -9.07 eV/atom
ρ = 8.95 g/cm3
ΔE_f = 0.1084 eV per atom
total magnetization = 0.5 μB per cell
space group = P4/mmm, No. 123

a b c (Å): 3.612 3.661 3.661
angles (deg): 90.00 90.00 90.00
Last column: magnetic moment on the atom in μB.
Atoms (fractional coordinates):
1 Tc 0.500 0.500 0.000  0.03
2 Cr 0.000 0.500 0.500  0.03
3 Co 0.500 0.000 0.500  0.41
4 Cr 0.000 0.000 0.000  0.03

=====

(3)
Density functional theory data (PBE) for an optimized crystal structure of TbNdTmGa.

DFT total energy = -4.33 eV/atom
ρ = 8.25 g/cm3
ΔE_f = -0.1029 eV per atom
total magnetization = 0.4 μB per cell
space group = F-43m, No. 216

a b c (Å): 5.363 5.363 5.363
angles (deg): 60.00 60.00 60.00
Last column: magnetic moment on the atom in μB.
Atoms (fractional coordinates):
1 Tm 0.750 0.750 0.750  0.13
2 Ga 0.250 0.250 0.250  0.00
3 Tb 0.500 0.500 0.500  0.10
4 Nd 0.000 0.000 0.000  0.08

=====

(4)
Density functional theory data (PBE) for an optimized crystal structure of PaAlPdRh.

DFT total energy = -7.08 eV/atom
ρ = 10.49 g/cm3
ΔE_f = -0.6380 eV per atom
total magnetization = 0.0 μB per cell
space group = F-43m, No. 216

a b c (Å): 4.712 4.712 4.712
angles (deg): 60.00 60.00 60.00
Atoms (fractional coordinates):
1 Rh 0.500 0.500 0.500
2 Pd 0.000 0.000 0.000
3 Al 0.250 0.250 0.250
4 Pa 0.750 0.750 0.750

=====

(5)
Density functional theory data (PBE) for an optimized crystal structure of La3PrHo4.

DFT total energy = -4.70 eV/atom
excess energy over the best structure of this formula in the dataset = 0.0 meV/atom
ρ = 7.41 g/cm3
ΔE_f = 0.0339 eV per atom
total magnetization = 0.0 μB per cell
space group = Pmn2_1, No. 31

a b c (Å): 6.362 7.342 11.680
angles (deg): 90.00 90.00 90.00
Atoms (fractional coordinates):
1 La 0.647 0.628 0.000
2 Ho 0.149 0.881 0.000
3 La 0.479 0.373 0.251
4 La 0.979 0.627 0.249
5 Ho 0.480 0.881 0.750
6 Pr 0.150 0.369 0.000
7 Ho 0.651 0.121 0.000
8 Ho 0.649 0.119 0.500
9 Pr 0.650 0.631 0.500
10 La 0.479 0.373 0.749
11 La 0.147 0.372 0.500
12 La 0.979 0.627 0.751
13 Ho 0.151 0.879 0.500
14 Ho 0.980 0.119 0.250
15 Ho 0.980 0.119 0.750
16 Ho 0.480 0.881 0.250

=====

(6)
Density functional theory data (PBE) for an optimized crystal structure of SrTl2CrCl6.

DFT total energy = -4.12 eV/atom
ρ = 4.24 g/cm3
total magnetization = 4.0 μB per cell
space group = P-1, No. 2
raw formation energy = -1409 meV per atom

a b c (Å): 7.209 7.720 7.645
angles (deg): 55.75 61.68 62.29
Last column: magnetic moment on the atom in μB.
Atoms (fractional coordinates):
1 Cl 0.021 0.537 0.339  0.02
2 Cl 0.449 0.631 0.780  -0.01
3 Sr 0.816 0.816 0.551  0.01
4 Tl 0.047 0.090 0.779  0.00
5 Cl 0.183 0.002 0.323  -0.01
6 Cl 0.029 0.466 0.891  -0.01
7 Cr 0.316 0.316 0.052  3.61
8 Cl 0.603 0.167 0.212  -0.01
9 Tl 0.585 0.543 0.324  0.00
10 Cl 0.611 0.096 0.764  0.02

=====

(7)
Density functional theory data (PBE) for an optimized crystal structure of SmBi4.

DFT total energy = -4.27 eV/atom
excess energy over the best structure of this formula in the dataset = 0.0 meV/atom
ρ = 9.49 g/cm3
ΔE_f = -0.2194 eV per atom
total magnetization = 0.0 μB per cell
space group = P2_1/c, No. 14

a b c (Å): 7.292 4.411 10.726
angles (deg): 89.97 90.00 90.00
Atoms (fractional coordinates):
1 Sm 0.500 0.000 0.500
2 Bi 0.315 0.501 0.904
3 Bi 0.815 0.499 0.596
4 Sm 0.000 0.000 0.000
5 Bi 0.185 0.501 0.404
6 Bi 0.839 0.998 0.285
7 Bi 0.161 0.002 0.715
8 Bi 0.685 0.499 0.096
9 Bi 0.661 0.998 0.785
10 Bi 0.339 0.002 0.215

=====

(8)
Density functional theory data (PBE) for an optimized crystal structure of ScTiRh6.

DFT total energy = -7.82 eV/atom
ρ = 9.91 g/cm3
ΔE_f = -0.5242 eV per atom
total magnetization = 0.0 μB per cell
space group = C2/m, No. 12

a b c (Å): 7.313 11.945 7.300
angles (deg): 127.08 98.69 127.12
Atoms (fractional coordinates):
1 Rh 0.267 0.009 0.259
2 Rh 0.133 0.002 0.878
3 Rh 0.733 0.991 0.741
4 Ti 0.000 0.500 0.000
5 Rh 0.882 0.502 0.628
6 Ti 0.500 0.000 0.000
7 Sc 0.000 0.000 0.500
8 Rh 0.618 0.998 0.372
9 Rh 0.367 0.498 0.122
10 Rh 0.767 0.509 0.258
11 Sc 0.500 0.500 0.500
12 Rh 0.633 0.502 0.878
13 Rh 0.867 0.998 0.122
14 Rh 0.118 0.498 0.372
15 Rh 0.382 0.002 0.628
16 Rh 0.233 0.491 0.742

=====

(9)
Density functional theory data (PBE) for an optimized crystal structure of LiY2NiC.

DFT total energy = -6.16 eV/atom
ρ = 4.56 g/cm3
ΔE_f = -0.1951 eV per atom
total magnetization = 0.0 μB per cell
space group = P4/mmm, No. 123

a b c (Å): 5.016 5.016 3.699
angles (deg): 90.00 90.00 90.00
Atoms (fractional coordinates):
1 Y 0.000 0.500 0.000
2 Y 0.500 0.000 0.000
3 C 0.000 0.000 0.000
4 Ni 0.000 0.000 0.500
5 Li 0.500 0.500 0.500

=====

(10)
Density functional theory data (PBE) for an optimized crystal structure of K2Fe2C.

DFT total energy = -4.07 eV/atom
excess energy over the best structure of this formula in the dataset = 0.0 meV/atom
ρ = 3.39 g/cm3
ΔE_f = 1.5943 eV per atom
total magnetization = 1.1 μB per cell
space group = I4/mmm, No. 139

a b c (Å): 3.139 3.139 10.275
angles (deg): 81.21 81.21 90.00
Last column: magnetic moment on the atom in μB.
Atoms (fractional coordinates):
1 Fe 0.250 0.750 0.500  0.05
2 Fe 0.750 0.250 0.500  0.05
3 C 0.000 0.000 0.000  0.43
4 K 0.594 0.594 0.813  0.02
5 K 0.406 0.406 0.187  0.02

=====

(11)
Density functional theory data (PBE) for an optimized crystal structure of CaAgAs.

DFT total energy = -3.81 eV/atom
ρ = 4.80 g/cm3
ΔE_f = -0.6417 eV per atom
total magnetization = 0.0 μB per cell
space group = Cc, No. 9

a b c (Å): 7.408 4.612 4.613
angles (deg): 88.64 81.43 81.38
Atoms (fractional coordinates):
1 Ag 0.371 0.259 0.496
2 Ca 0.000 0.911 0.853
3 As 0.216 0.359 0.032
4 Ca 0.500 0.777 0.986
5 As 0.716 0.957 0.434
6 Ag 0.871 0.422 0.335

=====

(12)
Density functional theory data (PBE) for an optimized crystal structure of Zr2MnAu.

DFT total energy = -7.50 eV/atom
excess energy over the best structure of this formula in the dataset = 188.4 meV/atom
ρ = 9.74 g/cm3
ΔE_f = -0.1114 eV per atom
total magnetization = 1.9 μB per cell
space group = F-43m, No. 216

a b c (Å): 4.714 4.714 4.714
angles (deg): 60.00 60.00 60.00
Last column: magnetic moment on the atom in μB.
Atoms (fractional coordinates):
1 Zr 0.750 0.750 0.750  -0.45
2 Au 0.500 0.500 0.500  0.01
3 Zr 0.000 0.000 0.000  -0.76
4 Mn 0.250 0.250 0.250  3.21

=====

(13)
Density functional theory data (PBE) for an optimized crystal structure of YTmRu.

DFT total energy = -7.11 eV/atom
excess energy over the best structure of this formula in the dataset = 0.0 meV/atom
ρ = 8.49 g/cm3
ΔE_f = -0.3691 eV per atom
total magnetization = 0.0 μB per cell
space group = Ima2, No. 46

a b c (Å): 7.608 8.690 8.690
angles (deg): 57.85 64.04 64.04
Atoms (fractional coordinates):
1 Ru 0.420 0.335 0.332
2 Ru 0.754 0.249 0.749
3 Tm 0.498 0.627 0.628
4 Tm 0.009 0.000 0.000
5 Y 0.341 0.751 0.251
6 Y 0.342 0.249 0.749
7 Y 0.165 0.544 0.044
8 Tm 0.498 0.128 0.127
9 Ru 0.420 0.832 0.835
10 Y 0.753 0.956 0.456
11 Ru 0.087 0.665 0.668
12 Y 0.165 0.044 0.544
13 Tm 0.009 0.500 0.500
14 Ru 0.753 0.751 0.251
15 Y 0.754 0.456 0.956
16 Tm 0.753 0.872 0.873
17 Ru 0.087 0.168 0.165
18 Tm 0.753 0.373 0.372

=====

(14)
Density functional theory data (PBE) for an optimized crystal structure of LiScMn2Pb.

DFT total energy = -5.50 eV/atom
ρ = 6.40 g/cm3
ΔE_f = 0.5627 eV per atom
total magnetization = 7.3 μB per cell
space group = P4/mmm, No. 123

a b c (Å): 4.503 4.719 4.503
angles (deg): 90.00 90.00 90.00
Last column: magnetic moment on the atom in μB.
Atoms (fractional coordinates):
1 Li 0.000 0.000 0.000  0.01
2 Mn 0.500 0.000 0.000  3.60
3 Sc 0.500 0.500 0.500  -0.21
4 Mn 0.000 0.000 0.500  3.65
5 Pb 0.000 0.500 0.000  -0.03

=====

(15)
Density functional theory data (PBE) for an optimized crystal structure of HoTm2Pt.

DFT total energy = -5.51 eV/atom
excess energy over the best structure of this formula in the dataset = 122.3 meV/atom
ρ = 11.24 g/cm3
ΔE_f = -0.6213 eV per atom
total magnetization = 0.0 μB per cell
space group = P4/mmm, No. 123

a b c (Å): 3.526 3.526 8.289
angles (deg): 90.00 90.00 90.00
Atoms (fractional coordinates):
1 Tm 0.000 0.000 0.196
2 Tm 0.000 0.000 0.804
3 Pt 0.500 0.500 0.000
4 Ho 0.500 0.500 0.500

=====

(16)
Density functional theory data (PBE) for an optimized crystal structure of V2CoHOs.

DFT total energy = -8.15 eV/atom
excess energy over the best structure of this formula in the dataset = 0.0 meV/atom
ρ = 11.03 g/cm3
total magnetization = 0.0 μB per cell
space group = P4/mmm, No. 123

a b c (Å): 3.891 3.891 3.502
angles (deg): 90.00 90.00 90.00
Atoms (fractional coordinates):
1 Co 0.000 0.000 0.500
2 V 0.000 0.500 0.000
3 H 0.000 0.000 0.000
4 Os 0.500 0.500 0.500
5 V 0.500 0.000 0.000

=====

(17)
Density functional theory data (PBE) for an optimized crystal structure of Sm4IrO10.

DFT total energy = -7.42 eV/atom
ρ = 7.95 g/cm3
total magnetization = 3.1 μB per cell
space group = I4/m, No. 87
raw formation energy = -2266 meV per atom

a b c (Å): 5.485 6.621 6.621
angles (deg): 80.12 65.53 65.53
Last column: magnetic moment on the atom in μB.
Atoms (fractional coordinates):
1 O 0.750 0.500 0.500  0.11
2 Ir 0.000 0.000 0.000  0.61
3 O 0.956 0.918 0.728  0.23
4 O 0.316 0.728 0.082  0.23
5 O 0.602 0.082 0.272  0.23
6 O 0.044 0.082 0.272  0.23
7 O 0.126 0.272 0.918  0.23
8 Sm 0.402 0.795 0.402  0.00
9 Sm 0.196 0.402 0.205  0.00
10 Sm 0.598 0.205 0.598  0.00
11 O 0.874 0.728 0.082  0.23
12 O 0.684 0.272 0.918  0.23
13 O 0.250 0.500 0.500  0.11
14 Sm 0.804 0.598 0.795  0.00
15 O 0.398 0.918 0.728  0.23

=====

(18)
Density functional theory data (PBE) for an optimized crystal structure of CePmYAl.

DFT total energy = -5.23 eV/atom
ρ = 6.05 g/cm3
ΔE_f = -0.0074 eV per atom
total magnetization = 0.2 μB per cell
space group = F-43m, No. 216

a b c (Å): 5.380 5.380 5.380
angles (deg): 60.00 60.00 60.00
Last column: magnetic moment on the atom in μB.
Atoms (fractional coordinates):
1 Pm 0.500 0.500 0.500  0.04
2 Y 0.750 0.750 0.750  0.02
3 Al 0.000 0.000 0.000  0.00
4 Ce 0.250 0.250 0.250  0.09

=====

(19)
Density functional theory data (PBE) for an optimized crystal structure of BaNb3Sn.

DFT total energy = -4.90 eV/atom
excess energy over the best structure of this formula in the dataset = 921.1 meV/atom
ρ = 6.68 g/cm3
ΔE_f = 2.3304 eV per atom
total magnetization = 0.0 μB per cell
space group = Pm-3m, No. 221

a b c (Å): 5.104 5.104 5.104
angles (deg): 90.00 90.00 90.00
Atoms (fractional coordinates):
1 Nb 0.000 0.000 0.500
2 Ba 0.000 0.000 0.000
3 Nb 0.000 0.500 0.000
4 Sn 0.500 0.500 0.500
5 Nb 0.500 0.000 0.000

=====

(20)
Density functional theory data (PBE) for an optimized crystal structure of LiLaRu2.

DFT total energy = -5.74 eV/atom
excess energy over the best structure of this formula in the dataset = 595.8 meV/atom
ρ = 8.33 g/cm3
ΔE_f = 0.6094 eV per atom
total magnetization = 0.5 μB per cell
space group = R-3m, No. 166

a b c (Å): 9.792 9.792 9.792
angles (deg): 16.92 16.92 16.92
Last column: magnetic moment on the atom in μB.
Atoms (fractional coordinates):
1 La 0.250 0.250 0.250  -0.05
2 Li 0.750 0.750 0.750  -0.01
3 Ru 0.008 0.008 0.008  0.27
4 Ru 0.492 0.492 0.492  0.27

=====

(21)
Density functional theory data (PBE) for an optimized crystal structure of BaLaSe2N.

DFT total energy = -4.49 eV/atom
excess energy over the best structure of this formula in the dataset = 880.0 meV/atom
ρ = 4.79 g/cm3
total magnetization = 1.0 μB per cell
space group = P4/mmm, No. 123
raw formation energy = -64 meV per atom

a b c (Å): 5.880 5.880 4.497
angles (deg): 90.00 90.00 90.00
Last column: magnetic moment on the atom in μB.
Atoms (fractional coordinates):
1 Ba 0.000 0.000 0.000  0.07
2 Se 0.000 0.500 0.000  0.08
3 N 0.000 0.000 0.500  0.53
4 La 0.500 0.500 0.500  -0.02
5 Se 0.500 0.000 0.000  0.08

=====

(22)
Density functional theory data (PBE) for an optimized crystal structure of HfHgHPb2.

DFT total energy = -4.00 eV/atom
excess energy over the best structure of this formula in the dataset = 0.0 meV/atom
ρ = 10.39 g/cm3
total magnetization = 0.0 μB per cell
space group = P4/mmm, No. 123

a b c (Å): 5.860 3.699 5.860
angles (deg): 90.00 90.00 90.00
Atoms (fractional coordinates):
1 Hg 0.500 0.500 0.500
2 Hf 0.000 0.000 0.000
3 Pb 0.000 0.000 0.500
4 H 0.000 0.500 0.000
5 Pb 0.500 0.000 0.000

=====

(23)
Density functional theory data (PBE) for an optimized crystal structure of Pr2PO.

DFT total energy = -7.03 eV/atom
excess energy over the best structure of this formula in the dataset = 0.0 meV/atom
ρ = 6.44 g/cm3
total magnetization = 0.0 μB per cell
space group = R-3m, No. 166
raw formation energy = -2045 meV per atom

a b c (Å): 3.935 3.935 6.717
angles (deg): 72.97 72.97 60.00
Atoms (fractional coordinates):
1 P 0.500 0.500 0.500
2 O 0.000 0.000 0.000
3 Pr 0.258 0.258 0.225
4 Pr 0.742 0.742 0.775

=====

(24)
Density functional theory data (PBE) for an optimized crystal structure of LaPm3DyY.

DFT total energy = -5.02 eV/atom
ρ = 6.70 g/cm3
ΔE_f = 0.0234 eV per atom
total magnetization = 0.0 μB per cell
space group = P2_1/m, No. 11

a b c (Å): 5.162 8.114 10.894
angles (deg): 116.36 90.00 90.00
Atoms (fractional coordinates):
1 La 0.750 0.876 0.708
2 Pm 0.750 0.373 0.543
3 Pm 0.250 0.627 0.457
4 Dy 0.750 0.874 0.374
5 Y 0.250 0.623 0.125
6 La 0.250 0.124 0.292
7 Pm 0.250 0.623 0.792
8 Pm 0.750 0.377 0.208
9 Pm 0.250 0.127 0.959
10 Y 0.750 0.377 0.875
11 Dy 0.250 0.126 0.626
12 Pm 0.750 0.873 0.041

=====

(25)
Density functional theory data (PBE) for an optimized crystal structure of ErPu2Tc.

DFT total energy = -10.81 eV/atom
excess energy over the best structure of this formula in the dataset = 0.0 meV/atom
ρ = 13.18 g/cm3
ΔE_f = 0.0863 eV per atom
total magnetization = 10.4 μB per cell
space group = P4/mmm, No. 123

a b c (Å): 3.293 3.293 8.753
angles (deg): 90.00 90.00 90.00
Last column: magnetic moment on the atom in μB.
Atoms (fractional coordinates):
1 Er 0.500 0.500 0.500  0.26
2 Pu 0.000 0.000 0.799  5.18
3 Tc 0.500 0.500 0.000  -0.76
4 Pu 0.000 0.000 0.201  5.18